# 1
## HoH2I (GGA-PBE)

Data for a relaxed structure of HoH2I.

```
HoH2I
1.0
-1.1204 3.5793 -0.4630
-0.6510 1.3420 -3.4722
-5.5422 0.1353 -0.9651
I H Ho
1 2 1
direct
0.5000 0.5000 0.5000
0.6913 0.6913 0.9262
0.3087 0.3087 0.0738
0.0000 0.0000 0.0000
```

Values from the calculation:
total moment = 0.00 μB per cell
total DFT energy (no corrections) = -3.958 eV per atom

---

# 2
## LiPmCl4 (GGA-PBE)

Data for a relaxed structure of LiPmCl4.

```
LiPmCl4
1.0
7.1132 0.1872 -2.2365
-3.7842 6.0260 -2.2365
-0.1003 -0.1872 7.4559
Li Pm Cl
2 2 8
direct
0.2500 0.7500 0.5000
0.5000 0.5000 0.0000
0.0000 0.0000 0.0000
0.7500 0.2500 0.5000
0.2614 0.9478 0.3136
0.6343 0.9478 0.6864
0.6978 0.8843 0.1864
0.4886 0.3022 0.1864
0.6978 0.5114 0.8136
0.0522 0.3657 0.3136
0.1157 0.3022 0.8136
0.0522 0.7386 0.6864
```

Values from the calculation:
total moment = 0.00 μB per cell
offset from the most stable computed form = 0.49 kcal/mol of atoms
energy relative to the elements, uncorrected = -2101.0 meV per atom
total DFT energy (no corrections) = -4.443 eV per atom

---

# 3
## CsLiNpI5 (GGA-PBE)

Data for a relaxed structure of CsLiNpI5.

```
CsLiNpI5
1.0
-5.3401 5.4016 4.3732
-2.7707 -8.1130 1.8221
10.3902 0.9049 5.6709
Cs Li Np I
2 2 2 10
direct
0.3451 0.6549 0.2500
0.6549 0.3451 0.7500
0.6931 0.3069 0.2500
0.3069 0.6931 0.7500
0.0000 0.0000 0.5000
0.0000 0.0000 0.0000
0.0671 0.9329 0.2500
0.9329 0.0671 0.7500
0.8986 0.3070 0.1035
0.1014 0.6930 0.8965
0.6930 0.1014 0.3965
0.3070 0.8986 0.6035
0.7680 0.6261 0.4267
0.2320 0.3739 0.5733
0.3739 0.2320 0.0733
0.6261 0.7680 0.9267
```

Values from the calculation:
total moment = 8.00 μB per cell
energy relative to the elements, uncorrected = -1117.1 meV per atom
total DFT energy (no corrections) = -4.049 eV per atom

---

# 4
## Y2TcHgH (GGA-PBE)

Data for a relaxed structure of Y2TcHgH.

```
Y2TcHgH
1.0
-0.5684 5.0015 0.6766
-3.7855 0.0278 -3.3860
-2.3879 -0.6318 2.6645
Y H Hg Tc
2 1 1 1
direct
0.0000 0.5000 0.0000
0.5000 0.0000 0.0000
0.0000 0.0000 0.0000
0.5000 0.5000 0.5000
0.0000 0.0000 0.5000
```

Values from the calculation:
total moment = 0.00 μB per cell
total DFT energy (no corrections) = -5.687 eV per atom

---

# 5
## HfBeBi (GGA-PBE)

Data for a relaxed structure of HfBeBi.

```
HfBeBi
1.0
-3.1344 -1.3400 -2.5655
2.4447 -2.4787 -1.6922
-1.4891 -3.2793 7.0796
Bi Be Hf
2 2 2
direct
0.6149 0.1149 0.2298
0.3851 0.8851 0.7702
0.7660 0.5000 0.0000
0.2340 0.5000 0.0000
0.1824 0.6824 0.3649
0.8176 0.3176 0.6351
```

Values from the calculation:
total moment = 0.00 μB per cell
ΔH_f (0 K) = 0.2717 eV/atom
offset from the most stable computed form = 12.09 kcal/mol of atoms
total DFT energy (no corrections) = -5.582 eV per atom

---

# 6
## CaRe2Au (GGA-PBE)

Data for a relaxed structure of CaRe2Au.

```
CaRe2Au
1.0
-0.3494 2.4752 3.9113
-3.6400 -0.6099 2.8153
0.5700 -2.0701 4.1155
Re Ca Au
2 1 1
direct
0.2500 0.2500 0.2500
0.7500 0.7500 0.7500
0.0000 0.0000 0.0000
0.5000 0.5000 0.5000
```

Values from the calculation:
total moment = 1.42 μB per cell
ΔH_f (0 K) = 1.2522 eV/atom
offset from the most stable computed form = 25.18 kcal/mol of atoms
total DFT energy (no corrections) = -6.292 eV per atom

---

# 7
## Hf4ReRh2 (GGA-PBE)

Data for a relaxed structure of Hf4ReRh2.

```
Hf4ReRh2
1.0
5.2862 -0.0330 -1.8804
-2.6444 4.5898 -1.8499
-0.0190 0.0330 5.6106
Hf Re Rh
4 1 2
direct
0.5000 0.0000 0.0000
0.5000 0.5000 0.5000
0.0000 0.0000 0.5000
0.0000 0.5000 0.0000
0.0000 0.0000 0.0000
0.5000 0.5000 0.0000
0.5000 0.0000 0.5000
```

Values from the calculation:
total moment = 0.00 μB per cell
ΔH_f (0 K) = -0.5225 eV/atom
total DFT energy (no corrections) = -10.089 eV per atom

---

# 8
## Li3B8C8 (GGA-PBE)

Data for a relaxed structure of Li3B8C8.

```
Li3B8C8
1.0
4.9085 -0.1468 -11.9558
0.1807 2.5767 -12.3604
-0.2253 0.1585 12.6244
C B Li
8 8 3
direct
0.1958 0.5897 0.6061
0.5653 0.1574 0.4079
0.5053 0.8015 0.7038
0.7279 0.4441 0.2838
0.6971 0.0923 0.6048
0.0666 0.6597 0.4070
0.0049 0.3024 0.7025
0.2332 0.9529 0.2803
0.3943 0.6581 0.7362
0.3597 0.0900 0.2697
0.5647 0.9436 0.6211
0.6602 0.3021 0.3580
0.9021 0.1590 0.7431
0.8683 0.5915 0.2767
0.0689 0.4523 0.6166
0.1704 0.8031 0.3674
0.4708 0.5127 0.9581
0.7932 0.7368 0.0563
0.8764 0.8758 0.0006
```

Values from the calculation:
total moment = 0.00 μB per cell
ΔH_f (0 K) = 0.0451 eV/atom
offset from the most stable computed form = 0.89 kcal/mol of atoms
total DFT energy (no corrections) = -6.952 eV per atom

---

# 9
## RbCeS2O8 (GGA-PBE)

Data for a relaxed structure of RbCeS2O8.

```
RbCeS2O8
1.0
5.4331 0.0000 0.0000
-2.7165 4.7052 0.0000
0.0000 0.0000 8.6928
Rb Ce S O
1 1 2 8
direct
0.0000 0.0000 0.0000
0.0000 0.0000 0.5000
0.6667 0.3333 0.2656
0.3333 0.6667 0.7344
0.3333 0.6667 0.9020
0.3817 0.2665 0.3275
0.7335 0.1151 0.3275
0.6667 0.3333 0.0980
0.2665 0.8849 0.6725
0.6183 0.7335 0.6725
0.1151 0.3817 0.6725
0.8849 0.6183 0.3275
```

Values from the calculation:
total moment = 1.00 μB per cell
energy relative to the elements, uncorrected = -2032.7 meV per atom
total DFT energy (no corrections) = -6.601 eV per atom

---

# 10
## NpU3Ge2 (GGA-PBE)

Data for a relaxed structure of NpU3Ge2.

```
NpU3Ge2
1.0
-2.4405 3.8168 -0.7038
-5.3215 -0.6039 0.2457
-1.3196 2.8079 4.8710
Np U Ge
1 3 2
direct
0.1268 0.4995 0.2470
0.8931 0.5008 0.7130
0.7549 0.2493 0.2408
0.2300 0.7495 0.7904
0.5368 0.1366 0.7898
0.4584 0.8642 0.2190
```

Values from the calculation:
total moment = 0.00 μB per cell
ΔH_f (0 K) = -0.1166 eV/atom
total DFT energy (no corrections) = -9.457 eV per atom

---

# 11
## Si2IrAu (GGA-PBE)

Data for a relaxed structure of Si2IrAu.

```
Si2IrAu
1.0
-3.3639 2.1725 1.4255
-1.7008 1.1748 3.7141
2.1351 4.7150 0.5040
Au Ir Si
1 1 2
direct
0.7500 0.7500 0.7500
0.2500 0.2500 0.2500
0.9898 0.9898 0.0325
0.5102 0.5102 0.4675
```

Values from the calculation:
total moment = 0.00 μB per cell
offset from the most stable computed form = 3.82 kcal/mol of atoms
energy relative to the elements, uncorrected = -45.1 meV per atom
total DFT energy (no corrections) = -5.791 eV per atom

---

# 12
## Be2GeRhF (GGA-PBE)

Data for a relaxed structure of Be2GeRhF.

```
Be2GeRhF
1.0
3.5469 0.0000 0.0000
0.0000 4.7124 0.0000
0.0000 0.0000 3.5469
Be Ge Rh F
2 1 1 1
direct
0.0000 0.0000 0.5000
0.5000 0.0000 0.0000
0.0000 0.5000 0.0000
0.5000 0.5000 0.5000
0.0000 0.0000 0.0000
```

Values from the calculation:
total moment = 0.00 μB per cell
energy relative to the elements, uncorrected = -225.6 meV per atom
total DFT energy (no corrections) = -4.484 eV per atom

---

no.,mass density (g/cm³)
1,7.6
2,3.1
3,4.2
4,8.5
5,10.8
6,14.3
7,13.5
8,2.1
9,3.1
10,15.5
11,12.1
12,6.0